# 1
This record from Alexandria via LeMat-Bulk describes crystalline BeNiSe at its relaxed geometry. The functional is PBE.

Geometry as CIF:
```
data_BeNiSe
_symmetry_space_group_name_H-M 'P 3 m 1'
_symmetry_Int_Tables_number 156
_cell_length_a 3.5807
_cell_length_b 3.5807
_cell_length_c 3.6932
_cell_angle_alpha 90.00
_cell_angle_beta 90.00
_cell_angle_gamma 120.00
loop_
_symmetry_equiv_pos_as_xyz
'x,y,z'
'-y,x-y,z'
'-x+y,-x,z'
'-y,-x,z'
'-x+y,y,z'
'x,x-y,z'
loop_
_atom_site_label
_atom_site_type_symbol
_atom_site_fract_x
_atom_site_fract_y
_atom_site_fract_z
Be1 Be 0.0000 0.0000 0.0000
Ni1 Ni 0.6667 0.3333 0.2600
Se1 Se 0.3333 0.6667 0.7423
```

- V: 41.0 Å³ per cell
- DFT total energy: -0.1527 hartree per atom
- Formation energy without anion corrections: 0.1748 eV per atom



# 2
This record from Alexandria via LeMat-Bulk describes crystalline KLiAl at its relaxed geometry. The functional is PBE.

Geometry as CIF:
```
data_KLiAl
_symmetry_space_group_name_H-M 'F -4 3 m'
_symmetry_Int_Tables_number 216
_symmetry_space_group_name_Hall 'F -4 2 3'
_cell_length_a 7.401
_cell_length_b 7.401
_cell_length_c 7.401
_cell_angle_alpha 90.00
_cell_angle_beta 90.00
_cell_angle_gamma 90.00
loop_
_atom_site_label
_atom_site_type_symbol
_atom_site_fract_x
_atom_site_fract_y
_atom_site_fract_z
K1 K 0.000 0.000 0.000
Li1 Li 0.250 0.250 0.750
Al1 Al 0.000 0.000 0.500
```

- V: 405.4 Å³ per cell
- DFT total energy: -0.0644 hartree per atom



# 3
This record from Alexandria via LeMat-Bulk describes crystalline BaEuCdPb at its relaxed geometry. The functional is PBE.

Geometry as CIF:
```
data_BaEuCdPb
_symmetry_space_group_name_H-M 'F -4 3 m'
_symmetry_Int_Tables_number 216
_symmetry_space_group_name_Hall 'F -4 2 3'
_cell_length_a 8.289
_cell_length_b 8.289
_cell_length_c 8.289
_cell_angle_alpha 90.00
_cell_angle_beta 90.00
_cell_angle_gamma 90.00
loop_
_atom_site_label
_atom_site_type_symbol
_atom_site_fract_x
_atom_site_fract_y
_atom_site_fract_z
Ba1 Ba 0.000 0.000 0.000
Eu1 Eu 0.000 0.000 0.500
Cd1 Cd 0.250 0.250 0.250
Pb1 Pb 0.250 0.250 0.750
```

- V: 569.6 Å³ per cell
- DFT total energy: -0.1718 hartree per atom



# 4
This record from Alexandria via LeMat-Bulk describes crystalline RbLi2AsO4 at its relaxed geometry. The functional is PBE.

Geometry as CIF:
```
data_RbLi2AsO4
_symmetry_space_group_name_H-M 'I -4 2 m'
_symmetry_Int_Tables_number 121
_symmetry_space_group_name_Hall 'I -4 2'
_cell_length_a 5.478
_cell_length_b 5.478
_cell_length_c 7.452
_cell_angle_alpha 90.00
_cell_angle_beta 90.00
_cell_angle_gamma 90.00
loop_
_atom_site_label
_atom_site_type_symbol
_atom_site_fract_x
_atom_site_fract_y
_atom_site_fract_z
Rb1 Rb 0.000 0.000 0.000
Li1 Li 0.000 0.500 0.250
As1 As 0.000 0.000 0.500
O1 O 0.179 0.179 0.361
```

- V: 223.6 Å³ per cell
- DFT total energy: -0.1991 hartree per atom
- Formation energy without anion corrections: -1.7587 eV per atom



# 5
This record from Alexandria via LeMat-Bulk describes crystalline Cs3Sb5Te12 at its relaxed geometry. The functional is PBE.

Geometry as CIF:
```
data_Cs3Sb5Te12
_symmetry_space_group_name_H-M 'I a -3 d'
_symmetry_Int_Tables_number 230
_symmetry_space_group_name_Hall '-I 4bd 2c 3'
_cell_length_a 19.154
_cell_length_b 19.154
_cell_length_c 19.154
_cell_angle_alpha 90.00
_cell_angle_beta 90.00
_cell_angle_gamma 90.00
loop_
_atom_site_label
_atom_site_type_symbol
_atom_site_fract_x
_atom_site_fract_y
_atom_site_fract_z
Cs1 Cs 0.000 0.250 0.125
Sb1 Sb 0.000 0.000 0.000
Sb2 Sb 0.000 0.250 0.375
Te1 Te 0.036 0.054 0.646
```

- V: 7027.2 Å³ per cell
- DFT total energy: -0.1178 hartree per atom
- Formation energy without anion corrections: -0.1608 eV per atom



# 6
This record from Alexandria via LeMat-Bulk describes crystalline BaTc2BiO8 at its relaxed geometry. The functional is PBE.

Geometry as CIF:
```
data_BaTc2BiO8
_symmetry_space_group_name_H-M 'R 3 2'
_symmetry_Int_Tables_number 155
_symmetry_space_group_name_Hall 'R 3 2"'
_cell_length_a 5.3946
_cell_length_b 5.3946
_cell_length_c 24.1743
_cell_angle_alpha 90.00
_cell_angle_beta 90.00
_cell_angle_gamma 120.00
loop_
_atom_site_label
_atom_site_type_symbol
_atom_site_fract_x
_atom_site_fract_y
_atom_site_fract_z
Ba1 Ba 0.0000 0.0000 0.0000
Tc1 Tc 0.0000 0.0000 0.2517
Bi1 Bi 0.0000 0.0000 0.5000
O1 O 0.0000 0.0000 0.3257
O2 O 0.0060 0.3255 0.7709
```

- V: 609.3 Å³ per cell
- DFT total energy: -0.2584 hartree per atom
- Formation energy without anion corrections: -1.5147 eV per atom